DFT (GGA-PBEsol) results for a relaxed CaMnSe2 crystal.

Cell lengths 3.984, 3.984, 5.621 Å; angles 90.00, 90.00, 89.98 degrees
Atoms (fractional coordinates):
Se  0.625  0.376  0.500
Ca  0.626  0.375  0.000
Mn  0.124  0.875  0.500
Se  0.126  0.875  0.000

## Properties
Energy above the lowest structure with this stoichiometry ... 56.9 meV/atom
Formation energy from raw total energies ... -1.035 eV per atom